The following is a meta-GGA SCAN calculation of a crystal of TePSeCl2 relaxed with PBEsol, from Alexandria via LeMat-Bulk.

Results
Energy relative to the elements, uncorrected = 0.479 eV per atom

a b c (Å): 4.738 4.738 5.220
angles (deg): 90.00 90.00 90.00
Last column: magnetic moment on the atom in μB.
Atoms (fractional coordinates):
P 0.000 0.000 0.500  -0.05
Te 0.500 0.500 0.500  0.40
Se 0.000 0.000 0.000  -0.01
Cl 0.000 0.500 0.000  0.06
Cl 0.500 0.000 0.000  0.06